Entry 1:
Here is CeMgSb2 after structural relaxation from Alexandria. Energies are from PBE-GGA.

ΔE_f (raw), eV per atom: -0.609
DOS(E_F), states/eV/cell: 1.00
Size of the total moment, μB per formula unit: 0.16
E, eV per atom: -4.552

a = 7.0999 Å, b = 7.0999 Å, c = 7.0999 Å
α = 37.10°, β = 37.10°, γ = 37.10°
Closest atoms and distances in Å follow each position.
Sites, in units of the cell vectors:
Ce  0.0000  0.0000  0.0000  6 Sb 3.12
Mg  0.5000  0.5000  0.5000  6 Sb 3.05
Sb  0.2469  0.2469  0.2469  3 Mg 3.05, 3 Ce 3.12
Sb  0.7531  0.7531  0.7531  3 Mg 3.05, 3 Ce 3.12

=====

Entry 2:
Here is Ce3MgSb4 after structural relaxation from Alexandria. Energies are from PBE-GGA.

ΔE_f (raw), eV per atom: -0.794
DOS(E_F), states/eV/cell: 15.80
Size of the total moment, μB per formula unit: 1.89
E, eV per atom: -5.280

a = 6.3074 Å, b = 6.3074 Å, c = 6.3074 Å
α = 90.00°, β = 90.00°, γ = 90.00°
Closest atoms and distances in Å follow each position.
Sites, in units of the cell vectors:
Ce  0.0000  0.0000  0.5000  6 Sb 3.15
Ce  0.0000  0.5000  0.0000  6 Sb 3.15
Ce  0.5000  0.0000  0.0000  6 Sb 3.15
Mg  0.5000  0.5000  0.5000  6 Sb 3.15
Sb  0.0000  0.0000  0.0000  6 Ce 3.15
Sb  0.0000  0.5000  0.5000  2 Mg 3.15, 4 Ce 3.15
Sb  0.5000  0.0000  0.5000  2 Mg 3.15, 4 Ce 3.15
Sb  0.5000  0.5000  0.0000  2 Mg 3.15, 4 Ce 3.15

=====

Entry 3:
Here is CeMg2Sb after structural relaxation from Alexandria. Energies are from PBE-GGA.

ΔE_f (raw), eV per atom: -0.440
DOS(E_F), states/eV/cell: 6.87
Size of the total moment, μB per formula unit: 0.69
E, eV per atom: -3.751

a = 4.5146 Å, b = 4.5146 Å, c = 5.0009 Å
α = 90.00°, β = 90.00°, γ = 90.00°
Closest atoms and distances in Å follow each position.
Sites, in units of the cell vectors:
Ce  0.0000  0.0000  0.0000  4 Sb 3.19, 8 Mg 3.37
Mg  0.0000  0.5000  0.5000  4 Mg 3.19, 4 Sb 3.37, 4 Ce 3.37
Mg  0.5000  0.0000  0.5000  4 Mg 3.19, 4 Sb 3.37, 4 Ce 3.37
Sb  0.5000  0.5000  0.0000  4 Ce 3.19, 8 Mg 3.37

=====

Entry 4:
Here is CeMgSb2 after structural relaxation from Alexandria. Energies are from PBE-GGA.

ΔE_f (raw), eV per atom: -0.504
DOS(E_F), states/eV/cell: 4.31
Size of the total moment, μB per formula unit: 0.37
E, eV per atom: -4.447

a = 5.3140 Å, b = 5.3140 Å, c = 5.3140 Å
α = 60.00°, β = 60.00°, γ = 60.00°
Closest atoms and distances in Å follow each position.
Sites, in units of the cell vectors:
Ce  0.0000  0.0000  0.0000  8 Sb 3.25
Mg  0.5000  0.5000  0.5000  8 Sb 3.25
Sb  0.2500  0.2500  0.2500  4 Mg 3.25, 4 Ce 3.25
Sb  0.7500  0.7500  0.7500  4 Mg 3.25, 4 Ce 3.25

=====

Entry 5:
Here is CeMgSnSb after structural relaxation from Alexandria. Energies are from PBE-GGA.

ΔE_f (raw), eV per atom: -0.585
DOS(E_F), states/eV/cell: 4.57
Size of the total moment, μB per formula unit: 0.48
E, eV per atom: -4.498

a = 4.3226 Å, b = 4.7954 Å, c = 4.9411 Å
α = 90.00°, β = 90.00°, γ = 90.00°
Closest atoms and distances in Å follow each position.
Sites, in units of the cell vectors:
Ce  0.0000  0.0000  0.0000  4 Sb 3.23, 4 Sn 3.28, 4 Mg 3.44
Mg  0.0000  0.5000  0.5000  4 Sn 3.23, 4 Sb 3.28, 4 Ce 3.44
Sn  0.5000  0.0000  0.5000  4 Mg 3.23, 4 Ce 3.28, 4 Sb 3.44
Sb  0.5000  0.5000  0.0000  4 Ce 3.23, 4 Mg 3.28, 4 Sn 3.44

=====

Entry 6:
Here is CeMgSnSb after structural relaxation from Alexandria. Energies are from PBE-GGA.

ΔE_f (raw), eV per atom: -0.401
DOS(E_F), states/eV/cell: 5.34
Size of the total moment, μB per formula unit: 0.50
E, eV per atom: -4.315

a = 5.2968 Å, b = 5.2968 Å, c = 5.2968 Å
α = 60.00°, β = 60.00°, γ = 60.00°
Closest atoms and distances in Å follow each position.
Sites, in units of the cell vectors:
Ce  0.0000  0.0000  0.0000  4 Sn 3.24, 4 Sb 3.24
Mg  0.5000  0.5000  0.5000  4 Sn 3.24, 4 Sb 3.24
Sn  0.2500  0.2500  0.2500  4 Mg 3.24, 4 Ce 3.24
Sb  0.7500  0.7500  0.7500  4 Mg 3.24, 4 Ce 3.24

=====

Entry 7:
Here is TbCe2MgSb4 after structural relaxation from Alexandria. Energies are from PBE-GGA.

ΔE_f (raw), eV per atom: -0.834
DOS(E_F), states/eV/cell: 8.49
Size of the total moment, μB per formula unit: 0.96
E, eV per atom: -5.157

a = 7.5468 Å, b = 4.4687 Å, c = 7.7517 Å
α = 90.00°, β = 110.49°, γ = 90.00°
Closest atoms and distances in Å follow each position.
Sites, in units of the cell vectors:
Tb  0.0000  0.0000  0.0000  6 Sb 3.11-3.13
Ce  0.5000  0.0000  0.5000  6 Sb 3.14-3.15
Ce  0.5000  0.5000  0.0000  6 Sb 3.16-3.17
Mg  0.0000  0.5000  0.5000  6 Sb 3.07-3.12
Sb  0.2409  0.0000  0.7430  2 Mg 3.07, 1 Tb 3.13, 3 Ce 3.15-3.17
Sb  0.2458  0.5000  0.2493  2 Tb 3.11, 1 Mg 3.12, 3 Ce 3.14-3.16
Sb  0.7542  0.5000  0.7507  2 Tb 3.11, 1 Mg 3.12, 3 Ce 3.14-3.16
Sb  0.7591  0.0000  0.2570  2 Mg 3.07, 1 Tb 3.13, 3 Ce 3.15-3.17

=====

Entry 8:
Here is CeMg6Sc after structural relaxation from Alexandria. Energies are from PBE-GGA.

DOS(E_F), states/eV/cell: 12.43
Size of the total moment, μB per formula unit: 1.10
E, eV per atom: -2.712

a = 6.6537 Å, b = 6.6537 Å, c = 4.4447 Å
α = 90.00°, β = 90.00°, γ = 90.00°
Closest atoms and distances in Å follow each position.
Sites, in units of the cell vectors:
Ce  0.0000  0.0000  0.0000  12 Mg 3.30-3.33
Mg  0.0000  0.5000  0.0000  8 Mg 3.24, 2 Ce 3.33, 2 Sc 3.33
Mg  0.2586  0.2586  0.5000  2 Sc 3.18, 8 Mg 3.21-3.44, 2 Ce 3.30
Mg  0.2586  0.7414  0.5000  2 Sc 3.18, 8 Mg 3.21-3.44, 2 Ce 3.30
Mg  0.5000  0.0000  0.0000  8 Mg 3.24, 2 Ce 3.33, 2 Sc 3.33
Mg  0.7414  0.2586  0.5000  2 Sc 3.18, 8 Mg 3.21-3.44, 2 Ce 3.30
Mg  0.7414  0.7414  0.5000  2 Sc 3.18, 8 Mg 3.21-3.44, 2 Ce 3.30
Sc  0.5000  0.5000  0.0000  12 Mg 3.18-3.33

=====

Entry 9:
Here is Ce2Mg8Sc after structural relaxation from Alexandria. Energies are from PBE-GGA.

DOS(E_F), states/eV/cell: 20.97
Size of the total moment, μB per formula unit: 2.14
E, eV per atom: -2.692

a = 8.5404 Å, b = 8.5404 Å, c = 8.5404 Å
α = 144.24°, β = 127.56°, γ = 65.10°
Closest atoms and distances in Å follow each position.
Sites, in units of the cell vectors:
Ce  0.2079  0.2079  0.0000  10 Mg 3.23-3.42
Ce  0.7921  0.7921  0.0000  10 Mg 3.23-3.42
Mg  0.0707  0.3713  0.6995  1 Sc 2.93, 3 Mg 3.01-3.21, 3 Ce 3.23-3.27
Mg  0.2184  0.0000  0.2184  7 Mg 3.06-3.30, 2 Sc 3.37, 2 Ce 3.42
Mg  0.3282  0.6287  0.6995  1 Sc 2.93, 3 Mg 3.01-3.21, 3 Ce 3.23-3.27
Mg  0.3469  0.8469  0.5000  2 Mg 3.06, 2 Ce 3.30, 2 Sc 3.43
Mg  0.6531  0.1531  0.5000  2 Mg 3.06, 2 Ce 3.30, 2 Sc 3.43
Mg  0.6718  0.3713  0.3005  1 Sc 2.93, 3 Mg 3.01-3.21, 3 Ce 3.23-3.27
Mg  0.7816  0.0000  0.7816  7 Mg 3.06-3.30, 2 Sc 3.37, 2 Ce 3.42
Mg  0.9293  0.6287  0.3005  1 Sc 2.93, 3 Mg 3.01-3.21, 3 Ce 3.23-3.27
Sc  0.5000  0.5000  0.0000  4 Mg 2.93

=====

Entry 10:
Here is CeMg4Sc after structural relaxation from Alexandria. Energies are from PBE-GGA.

DOS(E_F), states/eV/cell: 10.79
Size of the total moment, μB per formula unit: 1.29
E, eV per atom: -3.089

a = 5.9521 Å, b = 5.9521 Å, c = 5.9521 Å
α = 60.00°, β = 60.00°, γ = 60.00°
Closest atoms and distances in Å follow each position.
Sites, in units of the cell vectors:
Ce  0.0000  0.0000  0.0000  12 Mg 3.49, 4 Sc 3.64
Mg  0.1261  0.6246  0.6246  6 Mg 2.97-2.98
Mg  0.6246  0.1261  0.6246  6 Mg 2.97-2.98
Mg  0.6246  0.6246  0.1261  6 Mg 2.97-2.98
Mg  0.6246  0.6246  0.6246  6 Mg 2.97-2.98
Sc  0.2500  0.2500  0.2500  12 Mg 3.49, 4 Ce 3.64

=====

Entry 11:
Here is CeMgSc3 after structural relaxation from Alexandria. Energies are from PBE-GGA.

DOS(E_F), states/eV/cell: 22.23
Size of the total moment, μB per formula unit: 0.65
E, eV per atom: -5.240

a = 7.3657 Å, b = 4.5214 Å, c = 7.5207 Å
α = 90.00°, β = 91.90°, γ = 90.00°
Closest atoms and distances in Å follow each position.
Sites, in units of the cell vectors:
Ce  0.1171  0.2500  0.0483  2 Ce 2.92, 1 Mg 3.26
Ce  0.8829  0.7500  0.9517  2 Ce 2.92, 1 Mg 3.26
Mg  0.2616  0.7500  0.7392  9 Sc 3.18-3.34, 3 Ce 3.26-3.44
Mg  0.7384  0.2500  0.2608  9 Sc 3.18-3.34, 3 Ce 3.26-3.44
Sc  0.0596  0.7500  0.3591  3 Mg 3.18-3.34, 6 Sc 3.19-3.45, 3 Ce 3.29
Sc  0.3557  0.2500  0.4432  3 Mg 3.18-3.26, 8 Sc 3.19-3.45, 1 Ce 3.40
Sc  0.4434  0.7500  0.1481  3 Mg 3.23-3.31, 6 Sc 3.25-3.37, 3 Ce 3.37-3.60
Sc  0.5566  0.2500  0.8519  3 Mg 3.23-3.31, 6 Sc 3.25-3.37, 3 Ce 3.37-3.60
Sc  0.6443  0.7500  0.5568  3 Mg 3.18-3.26, 8 Sc 3.19-3.45, 1 Ce 3.40
Sc  0.9404  0.2500  0.6409  3 Mg 3.18-3.34, 6 Sc 3.19-3.45, 3 Ce 3.29

=====

Entry 12:
Here is CeMg6Sc after structural relaxation from Alexandria. Energies are from PBE-GGA.

DOS(E_F), states/eV/cell: 11.88
Size of the total moment, μB per formula unit: 1.01
E, eV per atom: -2.721

a = 5.1657 Å, b = 6.5973 Å, c = 6.5973 Å
α = 60.03°, β = 90.00°, γ = 90.00°
Closest atoms and distances in Å follow each position.
Sites, in units of the cell vectors:
Ce  0.0000  0.0000  0.0000  12 Mg 3.23-3.30
Mg  0.0000  0.0015  0.4992  8 Mg 3.20-3.32, 2 Sc 3.20, 2 Ce 3.30
Mg  0.0000  0.4992  0.0015  8 Mg 3.20-3.32, 2 Sc 3.20, 2 Ce 3.30
Mg  0.0000  0.4986  0.4986  8 Mg 3.20-3.32, 2 Sc 3.20, 2 Ce 3.30
Mg  0.5000  0.3397  0.8293  8 Mg 3.20-3.37, 2 Ce 3.23, 2 Sc 3.30
Mg  0.5000  0.8293  0.3397  8 Mg 3.20-3.37, 2 Ce 3.23, 2 Sc 3.30
Mg  0.5000  0.8298  0.8298  8 Mg 3.20-3.36, 2 Ce 3.23, 2 Sc 3.30
Sc  0.5000  0.3328  0.3328  12 Mg 3.20-3.30

=====

- What is the formula in the ninth record?
  Ce2Mg8Sc